Arrangement a

AcLaMgHg: optimized geometry, PBE.

a = 5.662 Å, b = 5.662 Å, c = 5.662 Å
α = 60.00°, β = 60.00°, γ = 60.00°
Element x y z (fractional)
Ac 0.000 0.000 0.000
La 0.500 0.500 0.500
Mg 0.750 0.750 0.750
Hg 0.250 0.250 0.250

Summary:
DOS at the Fermi energy, states/eV per atom: 1.2020
Total moment, μB per cell: 0.00

***

Arrangement b

AcLaMgHg: optimized geometry, PBE.

a = 4.021 Å, b = 4.021 Å, c = 7.963 Å
α = 90.00°, β = 90.00°, γ = 90.00°
Element x y z (fractional)
Ac 0.000 0.000 0.000
La 0.000 0.000 0.506
Mg 0.500 0.500 0.267
Hg 0.500 0.500 0.733

Summary:
DOS at the Fermi energy, states/eV per atom: 1.3340
Total moment, μB per cell: 0.00

***

Stability, lowest: arrangement a